# 1
Below is a geometry-optimized Nb3FeAu structure, with properties calculated at the PBE level.

Structure (CIF):
```
data_Nb3FeAu
_chemical_formula_sum 'Nb3 Fe1 Au1'
_cell_length_a 4.9473
_cell_length_b 4.9473
_cell_length_c 4.9473
_cell_angle_alpha 90.00
_cell_angle_beta 90.00
_cell_angle_gamma 90.00
_symmetry_space_group_name_H-M 'P m -3 m'
_symmetry_Int_Tables_number 221
_symmetry_space_group_name_Hall '-P 4 2 3'
loop_
_atom_site_label
_atom_site_type_symbol
_atom_site_fract_x
_atom_site_fract_y
_atom_site_fract_z
Nb1 Nb 0.0000 0.0000 0.5000
Fe1 Fe 0.5000 0.5000 0.5000
Au1 Au 0.0000 0.0000 0.0000
```

E in eV per atom: -6.533
Total magnetic moment in μB/cell: 2.7
Mass density in Mg/m³: 7.3
Energy above the most stable polymorph in this dataset in meV per atom: 1300
V in A^3/atom: 24.22
Energy of formation in eV per formula unit: 9.283

# 2
Below is a geometry-optimized NbFe2Au2 structure, with properties calculated at the PBE level.

Structure (CIF):
```
data_NbFe2Au2
_chemical_formula_sum 'Nb2 Fe4 Au4'
_cell_length_a 6.5138
_cell_length_b 6.5138
_cell_length_c 3.7189
_cell_angle_alpha 90.00
_cell_angle_beta 90.00
_cell_angle_gamma 90.00
_symmetry_space_group_name_H-M 'P 4/m b m'
_symmetry_Int_Tables_number 127
_symmetry_space_group_name_Hall '-P 4 2ab'
loop_
_atom_site_label
_atom_site_type_symbol
_atom_site_fract_x
_atom_site_fract_y
_atom_site_fract_z
Nb1 Nb 0.0000 0.0000 0.0000
Fe1 Fe 0.1257 0.3743 0.0000
Au1 Au 0.1723 0.6723 0.5000
```

E in eV per atom: -6.498
Total magnetic moment in μB/cell: 7.1
Mass density in Mg/m³: 12.6
V in A^3/atom: 15.78
Energy of formation in eV per formula unit: 1.060

# 3
Below is a geometry-optimized NbFeAu2 structure, with properties calculated at the PBE level.

Structure (CIF):
```
data_NbFeAu2
_chemical_formula_sum 'Nb4 Fe4 Au8'
_cell_length_a 7.3236
_cell_length_b 7.3236
_cell_length_c 5.2009
_cell_angle_alpha 90.00
_cell_angle_beta 90.00
_cell_angle_gamma 90.00
_symmetry_space_group_name_H-M 'I -4 2 d'
_symmetry_Int_Tables_number 122
_symmetry_space_group_name_Hall 'I -4 2bw'
loop_
_atom_site_label
_atom_site_type_symbol
_atom_site_fract_x
_atom_site_fract_y
_atom_site_fract_z
Nb1 Nb 0.0000 0.0000 0.0000
Fe1 Fe 0.0000 0.0000 0.5000
Au1 Au 0.2201 0.2500 0.6250
```

E in eV per atom: -5.667
Total magnetic moment in μB/cell: 0.0
Mass density in Mg/m³: 12.9
Energy above the most stable polymorph in this dataset in meV per atom: 249
V in A^3/atom: 17.43
Energy of formation in eV per formula unit: 2.421

# 4
Below is a geometry-optimized NbFe3Au structure, with properties calculated at the PBE level.

Structure (CIF):
```
data_NbFe3Au
_chemical_formula_sum 'Nb1 Fe3 Au1'
_cell_length_a 4.4885
_cell_length_b 4.4885
_cell_length_c 4.4885
_cell_angle_alpha 90.00
_cell_angle_beta 90.00
_cell_angle_gamma 90.00
_symmetry_space_group_name_H-M 'P m -3 m'
_symmetry_Int_Tables_number 221
_symmetry_space_group_name_Hall '-P 4 2 3'
loop_
_atom_site_label
_atom_site_type_symbol
_atom_site_fract_x
_atom_site_fract_y
_atom_site_fract_z
Nb1 Nb 0.0000 0.0000 0.0000
Fe1 Fe 0.0000 0.0000 0.5000
Au1 Au 0.5000 0.5000 0.5000
```

E in eV per atom: -6.326
Total magnetic moment in μB/cell: 4.7
Mass density in Mg/m³: 8.4
Energy above the most stable polymorph in this dataset in meV per atom: 0
V in A^3/atom: 18.09
Energy of formation in eV per formula unit: 7.105

# 5
Below is a geometry-optimized NbFeAu2 structure, with properties calculated at the PBE level.

Structure (CIF):
```
data_NbFeAu2
_chemical_formula_sum 'Nb4 Fe4 Au8'
_cell_length_a 6.3965
_cell_length_b 6.3965
_cell_length_c 6.3965
_cell_angle_alpha 90.00
_cell_angle_beta 90.00
_cell_angle_gamma 90.00
_symmetry_space_group_name_H-M 'F m -3 m'
_symmetry_Int_Tables_number 225
_symmetry_space_group_name_Hall '-F 4 2 3'
loop_
_atom_site_label
_atom_site_type_symbol
_atom_site_fract_x
_atom_site_fract_y
_atom_site_fract_z
Nb1 Nb 0.0000 0.0000 0.0000
Fe1 Fe 0.0000 0.0000 0.5000
Au1 Au 0.2500 0.2500 0.2500
```

E in eV per atom: -5.916
Total magnetic moment in μB/cell: 0.0
Mass density in Mg/m³: 13.8
Energy above the most stable polymorph in this dataset in meV per atom: 0
V in A^3/atom: 16.36
Energy of formation in eV per formula unit: 1.423

# 6
Below is a geometry-optimized NbFe3Au structure, with properties calculated at the PBE level.

Structure (CIF):
```
data_NbFe3Au
_chemical_formula_sum 'Nb1 Fe3 Au1'
_cell_length_a 4.6841
_cell_length_b 4.6841
_cell_length_c 4.6841
_cell_angle_alpha 90.00
_cell_angle_beta 90.00
_cell_angle_gamma 90.00
_symmetry_space_group_name_H-M 'P m -3 m'
_symmetry_Int_Tables_number 221
_symmetry_space_group_name_Hall '-P 4 2 3'
loop_
_atom_site_label
_atom_site_type_symbol
_atom_site_fract_x
_atom_site_fract_y
_atom_site_fract_z
Nb1 Nb 0.0000 0.0000 0.0000
Fe1 Fe 0.0000 0.5000 0.5000
Au1 Au 0.5000 0.5000 0.5000
```

E in eV per atom: -6.250
Total magnetic moment in μB/cell: 6.9
Mass density in Mg/m³: 7.4
Energy above the most stable polymorph in this dataset in meV per atom: 76
V in A^3/atom: 20.55
Energy of formation in eV per formula unit: 7.486

# 7
Below is a geometry-optimized NbFe4Au structure, with properties calculated at the PBE level.

Structure (CIF):
```
data_NbFe4Au
_chemical_formula_sum 'Nb4 Fe16 Au4'
_cell_length_a 6.8217
_cell_length_b 6.8217
_cell_length_c 6.8217
_cell_angle_alpha 90.00
_cell_angle_beta 90.00
_cell_angle_gamma 90.00
_symmetry_space_group_name_H-M 'F -4 3 m'
_symmetry_Int_Tables_number 216
_symmetry_space_group_name_Hall 'F -4 2 3'
loop_
_atom_site_label
_atom_site_type_symbol
_atom_site_fract_x
_atom_site_fract_y
_atom_site_fract_z
Nb1 Nb 0.0000 0.0000 0.0000
Fe1 Fe 0.1248 0.1248 0.3752
Au1 Au 0.2500 0.2500 0.7500
```

E in eV per atom: -7.954
Total magnetic moment in μB/cell: 26.9
Mass density in Mg/m³: 10.7
V in A^3/atom: 13.23
Energy of formation in eV per formula unit: -0.527

# 8
Below is a geometry-optimized Nb2FeRuAu structure, with properties calculated at the PBE level.

Structure (CIF):
```
data_Nb2FeRuAu
_chemical_formula_sum 'Nb2 Fe1 Ru1 Au1'
_cell_length_a 4.6866
_cell_length_b 4.6866
_cell_length_c 4.9847
_cell_angle_alpha 90.00
_cell_angle_beta 90.00
_cell_angle_gamma 90.00
_symmetry_space_group_name_H-M 'P 4/m m m'
_symmetry_Int_Tables_number 123
_symmetry_space_group_name_Hall '-P 4 2'
loop_
_atom_site_label
_atom_site_type_symbol
_atom_site_fract_x
_atom_site_fract_y
_atom_site_fract_z
Nb1 Nb 0.0000 0.5000 0.0000
Fe1 Fe 0.0000 0.0000 0.5000
Ru1 Ru 0.5000 0.5000 0.0000
Au1 Au 0.5000 0.5000 0.5000
```

E in eV per atom: -6.713
Total magnetic moment in μB/cell: 0.1
Mass density in Mg/m³: 8.2
V in A^3/atom: 21.90
Energy of formation in eV per formula unit: 7.589

# 9
Below is a geometry-optimized ScNb2FeAu structure, with properties calculated at the PBE level.

Structure (CIF):
```
data_ScNb2FeAu
_chemical_formula_sum 'Sc1 Nb2 Fe1 Au1'
_cell_length_a 4.5658
_cell_length_b 4.5658
_cell_length_c 4.7553
_cell_angle_alpha 90.00
_cell_angle_beta 90.00
_cell_angle_gamma 90.00
_symmetry_space_group_name_H-M 'P 4/m m m'
_symmetry_Int_Tables_number 123
_symmetry_space_group_name_Hall '-P 4 2'
loop_
_atom_site_label
_atom_site_type_symbol
_atom_site_fract_x
_atom_site_fract_y
_atom_site_fract_z
Sc1 Sc 0.0000 0.0000 0.0000
Nb1 Nb 0.0000 0.5000 0.5000
Fe1 Fe 0.0000 0.0000 0.5000
Au1 Au 0.5000 0.5000 0.0000
```

E in eV per atom: -7.279
Total magnetic moment in μB/cell: 0.0
Mass density in Mg/m³: 8.1
V in A^3/atom: 19.83
Energy of formation in eV per formula unit: 1.817

# 10
Below is a geometry-optimized SrNbFe2Au structure, with properties calculated at the PBE level.

Structure (CIF):
```
data_SrNbFe2Au
_chemical_formula_sum 'Sr1 Nb1 Fe2 Au1'
_cell_length_a 4.4283
_cell_length_b 4.4283
_cell_length_c 5.2099
_cell_angle_alpha 90.00
_cell_angle_beta 90.00
_cell_angle_gamma 90.00
_symmetry_space_group_name_H-M 'P 4/m m m'
_symmetry_Int_Tables_number 123
_symmetry_space_group_name_Hall '-P 4 2'
loop_
_atom_site_label
_atom_site_type_symbol
_atom_site_fract_x
_atom_site_fract_y
_atom_site_fract_z
Sr1 Sr 0.0000 0.0000 0.0000
Nb1 Nb 0.5000 0.5000 0.5000
Fe1 Fe 0.0000 0.5000 0.0000
Au1 Au 0.0000 0.0000 0.5000
```

E in eV per atom: -4.073
Total magnetic moment in μB/cell: 0.0
Mass density in Mg/m³: 8.0
V in A^3/atom: 20.43
Energy of formation in eV per formula unit: 11.591

Q: The lowest mass density belongs to which entry?
A: Nb3FeAu